First-principles (PBEsol) data for an optimized crystal structure of PuTeSO7, as listed in the Alexandria database.

Unit cell a=7.5362 b=13.4176 c=5.4885 alpha=90.00 beta=109.92 gamma=90.00
Closest atoms and distances in Å follow each position.
Fractional positions:
Pu1 0.0809 0.1313 0.4121  2 O 2.07-2.29
Pu2 0.0809 0.3687 0.9121  2 O 2.07-2.29
Pu3 0.9191 0.6313 0.0879  2 O 2.07-2.29
Pu4 0.9191 0.8687 0.5879  2 O 2.07-2.29
Te1 0.2465 0.6280 0.7817  3 O 1.89-1.91
Te2 0.2465 0.8720 0.2817  3 O 1.89-1.91
Te3 0.7535 0.1280 0.7183  3 O 1.89-1.91
Te4 0.7535 0.3720 0.2183  3 O 1.89-1.91
S1 0.3746 0.1370 0.1082  4 O 1.46-1.51
S2 0.3746 0.3630 0.6082  4 O 1.46-1.51
S3 0.6254 0.6370 0.3918  4 O 1.46-1.51
S4 0.6254 0.8630 0.8918  4 O 1.46-1.51
O1 0.0750 0.7235 0.8355  1 Te 1.91
O2 0.0750 0.7765 0.3355  1 Te 1.91
O3 0.0850 0.5839 0.4538  1 Te 1.89, 1 Pu 2.07
O4 0.0850 0.9161 0.9538  1 Te 1.89, 1 Pu 2.07
O5 0.1337 0.5416 0.9650  1 Te 1.91
O6 0.1337 0.9584 0.4650  1 Te 1.91
O7 0.2426 0.2169 0.1407  1 S 1.51
O8 0.2426 0.2831 0.6407  1 S 1.51
O9 0.3096 0.0983 0.8416  1 S 1.47
O10 0.3096 0.4017 0.3416  1 S 1.47
O11 0.3573 0.0597 0.2970  1 S 1.50
O12 0.3573 0.4403 0.7970  1 S 1.50
O13 0.4317 0.6747 0.3152  1 S 1.46
O14 0.4317 0.8253 0.8152  1 S 1.46
O15 0.5683 0.1747 0.1848  1 S 1.46
O16 0.5683 0.3253 0.6848  1 S 1.46
O17 0.6427 0.5597 0.2030  1 S 1.50
O18 0.6427 0.9403 0.7030  1 S 1.50
O19 0.6904 0.5983 0.6584  1 S 1.47
O20 0.6904 0.9017 0.1584  1 S 1.47
O21 0.7574 0.7169 0.3593  1 S 1.51
O22 0.7574 0.7831 0.8593  1 S 1.51
O23 0.8663 0.0416 0.5350  1 Te 1.91
O24 0.8663 0.4584 0.0350  1 Te 1.91
O25 0.9150 0.0839 0.0462  1 Te 1.89, 1 Pu 2.07
O26 0.9150 0.4161 0.5462  1 Te 1.89, 1 Pu 2.07
O27 0.9250 0.2235 0.6645  1 Te 1.91
O28 0.9250 0.2765 0.1645  1 Te 1.91

Properties
DOS(E_F)	31.27	states/eV/cell
formation energy (no corrections)	-167	kJ/mol of atoms

***

First-principles (PBEsol) data for an optimized crystal structure of YCdSe2, as listed in the Alexandria database.

Unit cell a=6.8494 b=6.8494 c=6.8494 alpha=147.76 beta=146.96 gamma=46.83
Closest atoms and distances in Å follow each position.
Fractional positions:
Y1 0.0000 0.0000 0.0000  6 Se 2.87-2.89
Cd1 0.2761 0.7761 0.5000  4 Se 2.80
Se1 0.5769 0.5769 0.0000  4 Y 2.89, 2 Cd 3.17
Se2 0.8289 0.3289 0.5000  4 Cd 2.80, 2 Y 2.87

Properties
DOS(E_F)	1.25	states/eV/cell
formation energy (no corrections)	-108	kJ/mol of atoms

***

First-principles (PBEsol) data for an optimized crystal structure of BaSnF2, as listed in the Alexandria database.

Unit cell a=8.8349 b=8.8349 c=8.8349 alpha=25.59 beta=25.59 gamma=25.59
Closest atoms and distances in Å follow each position.
Fractional positions:
Ba1 0.0000 0.0000 0.0000  6 F 2.54
Sn1 0.5000 0.5000 0.5000  6 F 3.85, 6 Sn 3.91
F1 0.2882 0.2882 0.2882  3 Ba 2.54
F2 0.7118 0.7118 0.7118  3 Ba 2.54

Properties
DOS(E_F)	1.42	states/eV/cell
formation energy (no corrections)	-223	kJ/mol of atoms

***

First-principles (PBEsol) data for an optimized crystal structure of CsTlO, as listed in the Alexandria database.

Unit cell a=7.2444 b=7.2444 c=6.5298 alpha=105.53 beta=105.53 gamma=29.99
Closest atoms and distances in Å follow each position.
Fractional positions:
Cs1 0.1208 0.1208 0.3422  3 O 2.92-2.99
Cs2 0.8792 0.8792 0.6578  3 O 2.92-2.99
Tl1 0.3515 0.3515 0.1420  3 O 2.34-2.44
Tl2 0.6485 0.6485 0.8580  3 O 2.34-2.44
O1 0.2482 0.2482 0.7923  3 Tl 2.34-2.44
O2 0.7518 0.7518 0.2077  3 Tl 2.34-2.44

Properties
formation energy (no corrections)	-93	kJ/mol of atoms

***

First-principles (PBEsol) data for an optimized crystal structure of LiNbC2Br, as listed in the Alexandria database.

Unit cell a=4.1945 b=4.1945 c=3.8333 alpha=90.00 beta=90.00 gamma=90.00
Closest atoms and distances in Å follow each position.
Fractional positions:
Li1 0.0000 0.0000 0.0000  2 Br 1.92
Nb1 0.5000 0.5000 0.0000  8 C 2.84, 4 Li 2.97
C1 0.0000 0.5000 0.5000  2 Br 2.10
C2 0.5000 0.0000 0.5000  2 Br 2.10
Br1 0.0000 0.0000 0.5000  2 Li 1.92, 4 C 2.10

Properties
DOS(E_F)	2.09	states/eV/cell
formation energy (no corrections)	225	kJ/mol of atoms

***

First-principles (PBEsol) data for an optimized crystal structure of KCr2Mo, as listed in the Alexandria database.

Unit cell a=3.0216 b=4.3897 c=5.0897 alpha=90.00 beta=90.00 gamma=90.00
Closest atoms and distances in Å follow each position.
Fractional positions:
K1 0.0000 0.0000 0.0000  4 Cr 2.66, 4 Mo 2.96
Cr1 0.0000 0.5000 0.5000  4 Mo 2.66, 4 Cr 2.96
Cr2 0.5000 0.5000 0.0000  4 K 2.66, 4 Cr 2.96
Mo1 0.5000 0.0000 0.5000  4 Cr 2.66, 4 K 2.96

Properties
DOS(E_F)	3.56	states/eV/cell
energy of formation	1.75	eV per atom
ΔE to the lowest computed polymorph	80.8	kJ per mole of atoms

***

First-principles (PBEsol) data for an optimized crystal structure of TlHg3, as listed in the Alexandria database.

Unit cell a=3.7230 b=3.7230 c=7.1742 alpha=90.00 beta=90.00 gamma=90.00
Closest atoms and distances in Å follow each position.
Fractional positions:
Tl1 0.0000 0.0000 0.0000  10 Hg 3.25-3.59
Hg1 0.0000 0.0000 0.5000  8 Hg 3.13
Hg2 0.5000 0.5000 0.2648  5 Hg 3.13-3.37, 4 Tl 3.25
Hg3 0.5000 0.5000 0.7352  5 Hg 3.13-3.37, 4 Tl 3.25

Properties
DOS(E_F)	1.45	states/eV/cell
energy of formation	-0.02	eV per atom

***

First-principles (PBEsol) data for an optimized crystal structure of Co2SiCl, as listed in the Alexandria database.

Unit cell a=4.1172 b=4.1172 c=4.1172 alpha=60.00 beta=60.00 gamma=60.00
Closest atoms and distances in Å follow each position.
Fractional positions:
Co1 0.0000 0.0000 0.0000  4 Co 2.52, 4 Si 2.52
Co2 0.2500 0.2500 0.2500  4 Cl 2.52, 4 Co 2.52
Si1 0.7500 0.7500 0.7500  4 Cl 2.52, 4 Co 2.52
Cl1 0.5000 0.5000 0.5000  4 Co 2.52, 4 Si 2.52

Properties
DOS(E_F)	4.54	states/eV/cell
ΔE to the lowest computed polymorph	50.2	kJ per mole of atoms
formation energy (no corrections)	72	kJ/mol of atoms

***

First-principles (PBEsol) data for an optimized crystal structure of BaSc2Sb2, as listed in the Alexandria database.

Unit cell a=7.7298 b=7.7298 c=7.7298 alpha=145.30 beta=145.30 gamma=49.89
Closest atoms and distances in Å follow each position.
Fractional positions:
Ba1 0.0000 0.0000 0.0000  8 Sb 3.70
Sc1 0.2500 0.7500 0.5000  4 Sb 2.90
Sc2 0.7500 0.2500 0.5000  4 Sb 2.90
Sb1 0.3751 0.3751 0.0000  4 Sc 2.90
Sb2 0.6249 0.6249 0.0000  4 Sc 2.90

Properties
DOS(E_F)	4.10	states/eV/cell
formation energy (no corrections)	-85	kJ/mol of atoms

***

First-principles (PBEsol) data for an optimized crystal structure of CoIrOs2, as listed in the Alexandria database.

Unit cell a=4.5755 b=4.5755 c=4.5830 alpha=99.51 beta=99.51 gamma=33.81
Closest atoms and distances in Å follow each position.
Fractional positions:
Co1 0.0000 0.0000 0.0000  3 Ir 2.62-2.66, 7 Os 2.62-2.68, 2 Co 2.66
Ir1 0.7519 0.7519 0.2464  7 Os 2.61-2.69, 3 Co 2.62-2.66, 2 Ir 2.66
Os1 0.2522 0.2522 0.7568  4 Ir 2.61-2.69, 3 Co 2.62-2.64, 5 Os 2.63-2.66
Os2 0.5016 0.5016 0.5081  4 Co 2.62-2.68, 5 Os 2.63-2.66, 3 Ir 2.66-2.67

Properties
DOS(E_F)	4.30	states/eV/cell
energy of formation	0.11	eV per atom
ΔE to the lowest computed polymorph	2.3	kJ per mole of atoms

***

First-principles (PBEsol) data for an optimized crystal structure of SrCoP2, as listed in the Alexandria database.

Unit cell a=3.1810 b=3.1810 c=6.4091 alpha=90.00 beta=90.00 gamma=90.00
Closest atoms and distances in Å follow each position.
Fractional positions:
Sr1 0.0000 0.0000 0.0000  8 P 3.09, 4 Sr 3.18, 2 Co 3.20
Co1 0.0000 0.0000 0.5000  8 P 2.50
P1 0.5000 0.5000 0.3305  1 P 2.17
P2 0.5000 0.5000 0.6695  1 P 2.17

Properties
DOS(E_F)	2.17	states/eV/cell
energy of formation	-0.25	eV per atom
ΔE to the lowest computed polymorph	0.0	kJ per mole of atoms

***

First-principles (PBEsol) data for an optimized crystal structure of LiCuS, as listed in the Alexandria database.

Unit cell a=6.9333 b=6.9100 c=5.9397 alpha=64.79 beta=64.39 gamma=50.82
Closest atoms and distances in Å follow each position.
Fractional positions:
Li1 0.0142 0.0142 0.7358  4 S 2.43-2.45
Li2 0.2642 0.2642 0.9858  4 S 2.43-2.45
Li3 0.7358 0.7358 0.0142  4 S 2.43-2.45
Li4 0.9858 0.9858 0.2642  4 S 2.43-2.45
Cu1 0.0000 0.5000 0.5000  2 S 2.14
Cu2 0.5000 0.0000 0.5000  2 S 2.14
Cu3 0.5000 0.5000 0.0000  2 S 2.14
Cu4 0.5000 0.5000 0.5000  2 S 2.14
S1 0.1009 0.6491 0.1009  2 Cu 2.14
S2 0.3509 0.8991 0.3509  2 Cu 2.14
S3 0.6491 0.1009 0.6491  2 Cu 2.14
S4 0.8991 0.3509 0.8991  2 Cu 2.14

Properties
formation energy (no corrections)	-69	kJ/mol of atoms

***

First-principles (PBEsol) data for an optimized crystal structure of NaBi2Ir, as listed in the Alexandria database.

Unit cell a=4.9328 b=4.9328 c=4.9328 alpha=60.00 beta=60.00 gamma=60.00
Closest atoms and distances in Å follow each position.
Fractional positions:
Na1 0.0000 0.0000 0.0000  8 Bi 3.02
Bi1 0.2500 0.2500 0.2500  4 Na 3.02, 4 Ir 3.02
Bi2 0.7500 0.7500 0.7500  4 Ir 3.02, 4 Na 3.02
Ir1 0.5000 0.5000 0.5000  8 Bi 3.02

Properties
DOS(E_F)	1.42	states/eV/cell
energy of formation	0.05	eV per atom

***

First-principles (PBEsol) data for an optimized crystal structure of FePt2Cl, as listed in the Alexandria database.

Unit cell a=3.7079 b=3.7079 c=4.5338 alpha=90.00 beta=90.00 gamma=90.00
Closest atoms and distances in Å follow each position.
Fractional positions:
Fe1 0.0000 0.0000 0.0000  4 Cl 2.62, 8 Pt 2.93
Pt1 0.0000 0.5000 0.5000  4 Pt 2.62, 4 Cl 2.93, 4 Fe 2.93
Pt2 0.5000 0.0000 0.5000  4 Pt 2.62, 4 Cl 2.93, 4 Fe 2.93
Cl1 0.5000 0.5000 0.0000  4 Fe 2.62, 8 Pt 2.93

Properties
DOS(E_F)	5.52	states/eV/cell
ΔE to the lowest computed polymorph	41.5	kJ per mole of atoms
formation energy (no corrections)	60	kJ/mol of atoms

***

First-principles (PBEsol) data for an optimized crystal structure of Fe2HgSb, as listed in the Alexandria database.

Unit cell a=4.6622 b=4.6622 c=6.8171 alpha=119.10 beta=119.10 gamma=38.21
Closest atoms and distances in Å follow each position.
Fractional positions:
Fe1 0.2217 0.2217 0.3542  2 Fe 2.35, 3 Sb 2.61
Fe2 0.7783 0.7783 0.6458  2 Fe 2.35, 3 Sb 2.61
Hg1 0.5000 0.5000 0.0000  4 Fe 2.67
Sb1 0.0000 0.0000 0.5000  6 Fe 2.61

Properties
DOS(E_F)	2.99	states/eV/cell
formation energy (no corrections)	39	kJ/mol of atoms

***

First-principles (PBEsol) data for an optimized crystal structure of YRu2Pt2, as listed in the Alexandria database.

Unit cell a=6.0329 b=6.0329 c=6.0329 alpha=140.19 beta=140.19 gamma=57.57
Closest atoms and distances in Å follow each position.
Fractional positions:
Y1 0.0000 0.0000 0.0000  8 Ru 3.10, 8 Pt 3.35
Ru1 0.3974 0.3974 0.0000  1 Ru 2.17
Ru2 0.6026 0.6026 0.0000  1 Ru 2.17
Pt1 0.2500 0.7500 0.5000  4 Ru 2.58
Pt2 0.7500 0.2500 0.5000  4 Ru 2.58

Properties
DOS(E_F)	5.49	states/eV/cell
energy of formation	-0.16	eV per atom

***

First-principles (PBEsol) data for an optimized crystal structure of LiZrGeN2, as listed in the Alexandria database.

Unit cell a=3.9042 b=3.9042 c=5.0302 alpha=90.00 beta=90.00 gamma=90.00
Closest atoms and distances in Å follow each position.
Fractional positions:
Li1 0.0000 0.0000 0.0000  4 Zr 2.76
Zr1 0.5000 0.5000 0.0000  2 Ge 2.52, 4 Li 2.76
Ge1 0.5000 0.5000 0.5000  4 N 1.95
N1 0.0000 0.5000 0.5000  2 Ge 1.95
N2 0.5000 0.0000 0.5000  2 Ge 1.95

Properties
DOS(E_F)	4.20	states/eV/cell
formation energy (no corrections)	126	kJ/mol of atoms

***

First-principles (PBEsol) data for an optimized crystal structure of ThSi2Rh2, as listed in the Alexandria database.

Unit cell a=5.7995 b=5.7995 c=5.7995 alpha=138.89 beta=138.89 gamma=59.54
Closest atoms and distances in Å follow each position.
Fractional positions:
Th1 0.0000 0.0000 0.0000  8 Si 3.13, 8 Rh 3.24
Si1 0.3786 0.3786 0.0000  4 Rh 2.41, 1 Si 2.44
Si2 0.6214 0.6214 0.0000  4 Rh 2.41, 1 Si 2.44
Rh1 0.2500 0.7500 0.5000  4 Si 2.41
Rh2 0.7500 0.2500 0.5000  4 Si 2.41

Properties
DOS(E_F)	2.56	states/eV/cell
formation energy (no corrections)	-110	kJ/mol of atoms

***

First-principles (PBEsol) data for an optimized crystal structure of BaZnSb, as listed in the Alexandria database.

Unit cell a=4.5589 b=4.5589 c=4.9800 alpha=90.00 beta=90.00 gamma=120.00
Closest atoms and distances in Å follow each position.
Fractional positions:
Ba1 0.0000 0.0000 0.0000  6 Zn 3.45-3.80, 6 Sb 3.58-3.66
Zn1 0.6667 0.3333 0.4491  3 Sb 2.65
Sb1 0.3333 0.6667 0.5115  3 Zn 2.65

Properties
DOS(E_F)	2.17	states/eV/cell
ΔE to the lowest computed polymorph	0.0	kJ per mole of atoms
formation energy (no corrections)	-62	kJ/mol of atoms

***

First-principles (PBEsol) data for an optimized crystal structure of CeBO3, as listed in the Alexandria database.

Unit cell a=4.0915 b=5.0313 c=6.1864 alpha=90.00 beta=107.82 gamma=90.00
Closest atoms and distances in Å follow each position.
Fractional positions:
Ce1 0.1210 0.2500 0.2785  7 O 2.34-2.61
Ce2 0.8790 0.7500 0.7215  7 O 2.34-2.61
B1 0.5005 0.2500 0.7557  3 O 1.38
B2 0.4995 0.7500 0.2443  3 O 1.38
O1 0.1611 0.7500 0.1122  1 B 1.38
O2 0.3401 0.0138 0.6729  1 B 1.38
O3 0.3401 0.4862 0.6729  1 B 1.38
O4 0.6599 0.5138 0.3271  1 B 1.38
O5 0.6599 0.9862 0.3271  1 B 1.38
O6 0.8389 0.2500 0.8878  1 B 1.38

Properties
DOS(E_F)	12.14	states/eV/cell
formation energy (no corrections)	-284	kJ/mol of atoms

***

| no. | uncorrected energy (eV for the cell shown) |
| --- | --- |
| 1 | -308.4 |
| 2 | -20.2 |
| 3 | -19.5 |
| 4 | -23.4 |
| 5 | -22.3 |
| 6 | -26.4 |
| 7 | -4.4 |
| 8 | -20.3 |
| 9 | -28.9 |
| 10 | -41.5 |
| 11 | -22.1 |
| 12 | -51.3 |
| 13 | -19.6 |
| 14 | -22.4 |
| 15 | -21.4 |
| 16 | -41.9 |
| 17 | -26.5 |
| 18 | -41.6 |
| 19 | -10.2 |
| 20 | -88.1 |